Entry i
The following is a SCAN calculation of a crystal of SrAl2Re relaxed with PBEsol, from Alexandria.

abc: 3.3794 3.3794 7.2985
angles: 90.00 90.00 90.00
Space group P4mm (No. 99)
Symmetry-distinct sites (fractional):
1 Sr 0.0000 0.0000 0.0000 x1
2 Al 0.0000 0.0000 0.5688 x1
3 Al 0.5000 0.5000 0.3480 x1
4 Re 0.5000 0.5000 0.6909 x1

Entry ii
The following is a SCAN calculation of a crystal of SrAl2Re relaxed with PBEsol, from Alexandria.

abc: 8.8220 2.7799 6.7054
angles: 90.00 95.54 90.00
Space group Cm (No. 8)
Symmetry-distinct sites (fractional):
1 Sr 0.0000 0.0000 0.0000 x2
2 Al 0.9997 0.5000 0.4608 x2
3 Al 0.2440 0.0000 0.6601 x2
4 Re 0.2601 0.5000 0.3256 x2

Which is the most stable structure? entry i is the most stable.